No. 1
meta-GGA SCAN MoOsCl2, PBEsol geometry; space group = Cmmm (65); formation energy without anion corrections = 890 meV/atom; energy relative to the lowest polymorph listed for this composition = 0 meV/atom; total moment = 0.79 μB/f.u.; total energy = -29.790 eV per atom
1.0
-2.468 1.011 -0.768
0.711 -2.665 -0.780
-4.232 -3.688 8.750
Cl Mo Os
2 1 1
direct
0.000 0.000 0.688 Cl
0.000 0.000 0.312 Cl
0.500 0.000 0.500 Mo
0.500 0.000 0.000 Os

No. 2
meta-GGA SCAN Mo2OsCl, PBEsol geometry; space group = C2/m (12); formation energy without anion corrections = 876 meV/atom; energy relative to the lowest polymorph listed for this composition = 0 meV/atom; total moment = 0.00 μB/f.u.; total energy = -36.531 eV per atom
1.0
-0.524 2.727 -0.582
-2.048 -0.223 4.435
4.887 0.162 -0.006
Mo Cl Os
2 1 1
direct
0.000 0.500 0.000 Mo
0.000 0.000 0.500 Mo
0.500 0.500 0.500 Cl
0.500 0.000 0.000 Os

No. 3
meta-GGA SCAN MoOsCl2, PBEsol geometry; space group = P4/mmm (123); formation energy without anion corrections = 1500 meV/atom; energy relative to the lowest polymorph listed for this composition = 609 meV/atom; total moment = 0.00 μB/f.u.; total energy = -29.181 eV per atom
1.0
3.017 0.000 0.000
0.000 4.306 0.000
0.000 0.000 4.306
Cl Mo Os
2 1 1
direct
0.000 0.000 0.500 Cl
0.000 0.500 0.000 Cl
0.500 0.500 0.500 Mo
0.500 0.000 0.000 Os

No. 4
meta-GGA SCAN MoOsCl, PBEsol geometry; space group = F-43m (216); formation energy without anion corrections = 999 meV/atom; energy relative to the lowest polymorph listed for this composition = 0 meV/atom; total moment = 0.00 μB/f.u.; total energy = -37.249 eV per atom
1.0
-1.398 3.915 0.351
-2.837 1.451 -2.693
-3.909 0.713 1.271
Cl Os Mo
1 1 1
direct
0.500 0.500 0.500 Cl
0.000 0.000 0.000 Os
0.750 0.750 0.750 Mo